# 1
SrYTlP2, optimized geometry, DFT PBE; E_form = 908 meV per atom
1.0
-3.6506 4.0422 -0.4083
-1.6547 -2.0287 -5.2894
-3.7631 -3.1573 2.3882
P Sr Y Tl
2 1 1 1
Direct
0.5000 0.0000 0.0000
0.0000 0.0000 0.5000
0.0000 0.0000 0.0000
0.0000 0.5000 0.0000
0.5000 0.5000 0.5000



# 2
SrTmP, optimized geometry, DFT PBE; E_form = -493 meV per atom
1.0
-0.0695 1.2758 3.7938
-1.5248 -3.5811 -0.9357
33.9544 -16.0284 6.0123
Tm Sr P
4 4 4
Direct
0.3333 0.6667 0.3282
0.6667 0.3333 0.6718
0.3333 0.6667 0.2414
0.6667 0.3333 0.7586
0.6667 0.3333 0.1492
0.3333 0.6667 0.8508
0.3333 0.6667 0.9441
0.6667 0.3333 0.0559
0.3333 0.6667 0.7155
0.3333 0.6667 0.1015
0.6667 0.3333 0.2845
0.6667 0.3333 0.8985



# 3
Sr3TmU2P6, optimized geometry, DFT PBE; E_form = -1136 meV per atom
1.0
7.1192 -0.0006 0.0009
-3.5584 6.1661 0.0009
-1.1869 -2.0552 6.9188
P U Sr Tm
6 2 3 1
Direct
0.4119 0.0709 0.2124
0.5881 0.9291 0.7876
0.9291 0.5881 0.7876
0.0709 0.4119 0.2124
0.7300 0.7300 0.2125
0.2700 0.2700 0.7875
0.6669 0.3331 0.0000
0.3331 0.6669 0.0000
0.8351 0.1649 0.5000
0.1649 0.8351 0.5000
0.5000 0.5000 0.5000
0.0000 0.0000 0.0000



# 4
Sr2TmUP4, optimized geometry, DFT PBE; E_form = -1182 meV per atom
1.0
-4.0557 0.2811 -0.7646
1.2973 -0.1848 -6.9488
-0.9287 -6.8394 2.4118
Tm U P Sr
1 1 4 2
Direct
0.5000 0.5000 0.0000
0.0000 0.0000 0.0000
0.0000 0.7485 0.2138
0.5000 0.2305 0.2114
0.0000 0.2515 0.7862
0.5000 0.7695 0.7886
0.0000 0.5000 0.5000
0.5000 0.0000 0.5000



# 5
Sr2UP3, optimized geometry, DFT PBE; E_form = -1053 meV per atom
1.0
7.1894 -0.0259 -1.2063
-3.8767 6.0547 -1.2063
-0.0068 -0.0123 7.3508
P Sr U
6 4 2
Direct
0.2611 0.2313 0.7852
0.8980 0.5944 0.7852
0.0434 0.3768 0.2157
0.7687 0.7389 0.2148
0.4056 0.1020 0.2148
0.6232 0.9566 0.7843
0.3333 0.6667 0.0000
0.1718 0.8282 0.5000
0.8333 0.1667 0.5000
0.4948 0.5052 0.5000
0.6659 0.3341 0.0000
0.0007 0.9993 0.0000



# 6
SrUP, optimized geometry, DFT PBE; E_form = -136 meV per atom
1.0
4.2316 0.0000 0.0000
-2.1158 3.6598 0.0000
0.0000 0.0000 12.8179
Sr P U
2 2 2
Direct
0.2766 0.5532 0.8658
0.2766 0.5532 0.1342
0.2787 0.5575 0.5000
0.6101 0.2202 0.0000
0.6123 0.2245 0.5933
0.6123 0.2245 0.4067



# 7
SrVP, optimized geometry, DFT PBE; E_form = -793 meV per atom
1.0
3.7636 0.0000 0.0000
0.0000 3.7636 0.0000
0.0000 0.0000 9.9611
V P Sr
2 2 2
Direct
0.5000 0.5000 0.5000
0.0000 0.0000 0.5000
0.0000 0.5000 0.3432
0.5000 0.0000 0.6568
0.0000 0.5000 0.8059
0.5000 0.0000 0.1941



# 8
SrVP3, optimized geometry, DFT PBE; relative energy among the computed polymorphs = 0 meV/atom; E_form = -442 meV per atom
1.0
4.6562 0.0000 0.0000
0.0000 4.6562 0.0000
0.0000 0.0000 4.6562
P V Sr
3 1 1
Direct
0.0000 0.0000 0.5000
0.0000 0.5000 0.0000
0.5000 0.0000 0.0000
0.0000 0.0000 0.0000
0.5000 0.5000 0.5000



# 9
SrV2P, optimized geometry, DFT PBE; E_form = 160 meV per atom
1.0
4.4144 0.0000 0.0000
0.0000 4.4144 0.0000
2.2072 2.2072 8.9078
P Sr V
2 2 4
Direct
0.5000 0.5000 0.0000
0.2500 0.7500 0.5000
0.7500 0.2500 0.5000
0.0000 0.0000 0.0000
0.3750 0.6366 0.7500
0.3634 0.1250 0.2500
0.3866 0.6250 0.2500
0.8750 0.6134 0.7500



# 10
Sr2V2P, optimized geometry, DFT PBE; relative energy among the computed polymorphs = 588 meV/atom; E_form = 740 meV per atom
1.0
8.9472 0.0000 0.0000
0.0000 8.9472 0.0000
0.0000 0.0000 3.6006
Sr P V
4 2 4
Direct
0.2883 0.7883 0.0000
0.7117 0.2117 0.0000
0.2117 0.2883 0.0000
0.7883 0.7117 0.0000
0.5000 0.5000 0.0000
0.0000 0.0000 0.0000
0.9280 0.4280 0.5000
0.4280 0.0720 0.5000
0.0720 0.5720 0.5000
0.5720 0.9280 0.5000